No. 1
Here is a geometry-optimized Sr2TlCoF8 structure from Alexandria. Energies are from GGA+U.

As for the total DFT energy (no corrections): -60.1 eV per formula unit.

It has space group P-1 (No. 2), with a = 4.4976 Å, b = 5.4933 Å, c = 8.0009 Å, α = 90.16°, β = 90.54° and γ = 100.08°. The asymmetric unit holds Sr at (0.0032, 0.0076, 0.2581), Tl at (0.5000, 0.5000, 0.0000), Co at (0.5000, 0.5000, 0.5000), F at (0.0680, 0.7796, 0.0028), F at (0.1074, 0.2845, 0.5045), F at (0.4202, 0.7153, 0.3223) and F at (0.4387, 0.7422, 0.6832).



No. 2
Here is a geometry-optimized SrTl2CoF6 structure from Alexandria. Energies are from GGA+U.

As for the total DFT energy (no corrections): -47.7 eV per formula unit.

It has space group Pmmn (No. 59, origin choice 2), with a = 6.1217 Å, b = 9.0332 Å, c = 6.4729 Å, α = 90.00°, β = 90.00° and γ = 90.00°. The asymmetric unit holds Sr at (0.2500, 0.2500, 0.2186), Tl at (0.2500, 0.0184, 0.7096), Co at (0.2500, 0.7500, 0.2708), F at (0.0115, 0.7500, 0.0554), F at (0.0124, 0.7500, 0.4960) and F at (0.2500, 0.5124, 0.2878).



No. 3
Here is a geometry-optimized SrTl2Co3F12 structure from Alexandria. Energies are from GGA+U.

As for the total DFT energy (no corrections): -84.6 eV per formula unit.

It has space group R-3m (No. 166, hexagonal axes), with a = 7.6368 Å, b = 7.6368 Å, c = 16.3641 Å, α = 90.00°, β = 90.00° and γ = 120.00°. The asymmetric unit holds Sr at (0.0000, 0.0000, 0.0000), Tl at (0.0000, 0.0000, 0.3879), Co at (0.0000, 0.5000, 0.5000), F at (0.0384, 0.5192, 0.3863) and F at (0.0909, 0.5454, 0.8118).



No. 4
Here is a geometry-optimized SrZnCo2F8 structure from Alexandria. Energies are from GGA+U.

As for the total DFT energy (no corrections): -59.0 eV per formula unit.

It has space group P2/m (No. 10), with a = 4.9570 Å, b = 6.7321 Å, c = 4.9900 Å, α = 90.00°, β = 91.82° and γ = 90.00°. The asymmetric unit holds Sr at (0.0000, 0.0000, 0.0000), Zn at (0.0000, 0.5000, 0.0000), Co at (0.5000, 0.2637, 0.5000), F at (0.2028, 0.2824, 0.2126), F at (0.3080, 0.5000, 0.6981) and F at (0.3402, 0.0000, 0.6779).



No. 5
Here is a geometry-optimized TaCoF2 structure from Alexandria. Energies are from GGA+U.

The distance to the lowest polymorph of the same formula is 1.074 eV per atom.

It has space group Fm-3m (No. 225), with a = 5.6750 Å, b = 5.6750 Å, c = 5.6750 Å, α = 90.00°, β = 90.00° and γ = 90.00°. The asymmetric unit holds Ta at (0.0000, 0.0000, 0.0000), Co at (0.0000, 0.0000, 0.5000) and F at (0.2500, 0.2500, 0.2500).



No. 6
Here is a geometry-optimized TaCoF2 structure from Alexandria. Energies are from GGA+U.

The distance to the lowest polymorph of the same formula is 0.000 eV per atom.

It has space group R-3m (No. 166, hexagonal axes), with a = 2.8725 Å, b = 2.8725 Å, c = 21.7182 Å, α = 90.00°, β = 90.00° and γ = 120.00°. The asymmetric unit holds Ta at (0.0000, 0.0000, 0.0000), Co at (0.0000, 0.0000, 0.5000) and F at (0.0000, 0.0000, 0.0982).



No. 7
Here is a geometry-optimized Ta3CoF structure from Alexandria. Energies are from GGA+U.

The distance to the lowest polymorph of the same formula is 0.000 eV per atom.

It has space group Pm-3m (No. 221), with a = 4.2829 Å, b = 4.2829 Å, c = 4.2829 Å, α = 90.00°, β = 90.00° and γ = 90.00°. The asymmetric unit holds Ta at (0.0000, 0.0000, 0.5000), Co at (0.5000, 0.5000, 0.5000) and F at (0.0000, 0.0000, 0.0000).



No. 8
Here is a geometry-optimized Ta2Co2F structure from Alexandria. Energies are from GGA+U.

The distance to the lowest polymorph of the same formula is 0.000 eV per atom.

It has space group P4/mbm (No. 127), with a = 7.1053 Å, b = 7.1053 Å, c = 2.8927 Å, α = 90.00°, β = 90.00° and γ = 90.00°. The asymmetric unit holds Ta at (0.1573, 0.3427, 0.0000), Co at (0.1328, 0.6328, 0.5000) and F at (0.0000, 0.0000, 0.5000).